# SiGePtS2 (GGA-PBE, relaxed)
# **ρ**: 5.97 Mg/m³
# **Energy relative to the elements, uncorrected**: 4.89 eV per formula unit
data_SiGePtS2
_chemical_formula_sum 'Si1 Ge1 Pt1 S2'
_cell_length_a 4.6148
_cell_length_b 4.6148
_cell_length_c 4.6991
_cell_angle_alpha 90.00
_cell_angle_beta 90.00
_cell_angle_gamma 90.00
_space_group_name_H-M_alt 'P 1'
_space_group_IT_number 1
loop_
_space_group_symop_operation_xyz
'x,y,z'
loop_
_atom_site_label
_atom_site_fract_x
_atom_site_fract_y
_atom_site_fract_z
Si1 0.0000 0.0000 0.0000
Ge1 0.0000 0.0000 0.5000
Pt1 0.5000 0.5000 0.0000
S1 0.0000 0.5000 0.5000
S2 0.5000 0.0000 0.5000

# InGe (GGA-PBE, relaxed)
# **DFT formation energy**: 0.15 eV/atom
# **ρ**: 5.63 Mg/m³
data_InGe
_chemical_formula_sum 'In2 Ge2'
_cell_length_a 4.6263
_cell_length_b 4.6435
_cell_length_c 6.4654
_cell_angle_alpha 110.35
_cell_angle_beta 90.66
_cell_angle_gamma 119.38
_space_group_name_H-M_alt 'P 1'
_space_group_IT_number 1
loop_
_space_group_symop_operation_xyz
'x,y,z'
loop_
_atom_site_label
_atom_site_fract_x
_atom_site_fract_y
_atom_site_fract_z
In1 0.0000 0.0000 0.0000
In2 0.0093 0.4319 0.5324
Ge1 0.3135 0.0128 0.4124
Ge2 0.3352 0.6508 0.9891

# RbY2Rh2 (GGA-PBE, relaxed)
# **DFT formation energy**: -0.26 eV/atom
# **ρ**: 6.32 Mg/m³
data_RbY2Rh2
_chemical_formula_sum 'Rb2 Y4 Rh4'
_cell_length_a 8.5008
_cell_length_b 8.5008
_cell_length_c 3.4116
_cell_angle_alpha 90.00
_cell_angle_beta 90.00
_cell_angle_gamma 90.00
_space_group_name_H-M_alt 'P 1'
_space_group_IT_number 1
loop_
_space_group_symop_operation_xyz
'x,y,z'
loop_
_atom_site_label
_atom_site_fract_x
_atom_site_fract_y
_atom_site_fract_z
Rb1 0.0000 0.0000 0.0000
Rb2 0.5000 0.5000 0.0000
Y1 0.1411 0.3589 0.5000
Y2 0.3589 0.8589 0.5000
Y3 0.6411 0.1411 0.5000
Y4 0.8589 0.6411 0.5000
Rh1 0.1370 0.6370 0.0000
Rh2 0.3630 0.1370 0.0000
Rh3 0.6370 0.8630 0.0000
Rh4 0.8630 0.3630 0.0000

# UPd5Pt4 (GGA-PBE, relaxed)
# **DFT formation energy**: -0.18 eV/atom
# **ρ**: 14.58 Mg/m³
data_UPd5Pt4
_chemical_formula_sum 'U2 Pd10 Pt8'
_cell_length_a 8.0658
_cell_length_b 9.4050
_cell_length_c 4.6568
_cell_angle_alpha 90.00
_cell_angle_beta 90.00
_cell_angle_gamma 90.00
_space_group_name_H-M_alt 'P 1'
_space_group_IT_number 1
loop_
_space_group_symop_operation_xyz
'x,y,z'
loop_
_atom_site_label
_atom_site_fract_x
_atom_site_fract_y
_atom_site_fract_z
U1 0.2500 0.2500 0.1690
U2 0.7500 0.7500 0.8310
Pd1 0.0823 0.5060 0.7537
Pd2 0.0823 0.9940 0.7537
Pd3 0.2500 0.7500 0.8712
Pd4 0.4177 0.5060 0.7537
Pd5 0.4177 0.9940 0.7537
Pd6 0.5823 0.0060 0.2463
Pd7 0.5823 0.4940 0.2463
Pd8 0.7500 0.2500 0.1288
Pd9 0.9177 0.0060 0.2463
Pd10 0.9177 0.4940 0.2463
Pt1 0.0014 0.2500 0.5672
Pt2 0.2500 0.5316 0.2597
Pt3 0.2500 0.9684 0.2597
Pt4 0.4986 0.2500 0.5672
Pt5 0.5014 0.7500 0.4328
Pt6 0.7500 0.0316 0.7403
Pt7 0.7500 0.4684 0.7403
Pt8 0.9986 0.7500 0.4328

# BaTl2Re (GGA-PBE, relaxed)
# **DFT formation energy**: 0.70 eV/atom
# **ρ**: 10.60 Mg/m³
data_BaTl2Re
_chemical_formula_sum 'Ba1 Tl2 Re1'
_cell_length_a 3.7360
_cell_length_b 3.7514
_cell_length_c 8.1827
_cell_angle_alpha 90.00
_cell_angle_beta 90.12
_cell_angle_gamma 90.00
_space_group_name_H-M_alt 'P 1'
_space_group_IT_number 1
loop_
_space_group_symop_operation_xyz
'x,y,z'
loop_
_atom_site_label
_atom_site_fract_x
_atom_site_fract_y
_atom_site_fract_z
Ba1 0.0000 0.0000 0.0000
Tl1 0.0001 0.0000 0.5945
Tl2 0.5000 0.5000 0.3394
Re1 0.5005 0.5000 0.7034

# ScBeW (GGA-PBE, relaxed)
# **DFT formation energy**: 0.60 eV/atom
# **ρ**: 8.01 Mg/m³
data_ScBeW
_chemical_formula_sum 'Sc1 Be1 W1'
_cell_length_a 4.1160
_cell_length_b 4.1160
_cell_length_c 4.1160
_cell_angle_alpha 60.00
_cell_angle_beta 60.00
_cell_angle_gamma 60.00
_space_group_name_H-M_alt 'P 1'
_space_group_IT_number 1
loop_
_space_group_symop_operation_xyz
'x,y,z'
loop_
_atom_site_label
_atom_site_fract_x
_atom_site_fract_y
_atom_site_fract_z
Sc1 0.0000 0.0000 0.0000
Be1 0.2500 0.2500 0.2500
W1 0.5000 0.5000 0.5000

# FeRe2Te (GGA-PBE, relaxed)
# **ρ**: 10.60 Mg/m³
# **Energy relative to the elements, uncorrected**: 4.75 eV per formula unit
data_FeRe2Te
_chemical_formula_sum 'Fe2 Re4 Te2'
_cell_length_a 6.9371
_cell_length_b 6.9371
_cell_length_c 6.9371
_cell_angle_alpha 133.21
_cell_angle_beta 133.21
_cell_angle_gamma 68.33
_space_group_name_H-M_alt 'P 1'
_space_group_IT_number 1
loop_
_space_group_symop_operation_xyz
'x,y,z'
loop_
_atom_site_label
_atom_site_fract_x
_atom_site_fract_y
_atom_site_fract_z
Fe1 0.0000 0.0000 0.0000
Fe2 0.7500 0.2500 0.5000
Re1 0.0639 0.6250 0.9389
Re2 0.3750 0.3139 0.4389
Re3 0.6861 0.1250 0.0611
Re4 0.8750 0.9361 0.5611
Te1 0.2500 0.7500 0.5000
Te2 0.5000 0.5000 0.0000

# Ta2BiS (GGA-PBE, relaxed)
# **ρ**: 10.24 Mg/m³
# **Energy relative to the elements, uncorrected**: 1.87 eV per formula unit
data_Ta2BiS
_chemical_formula_sum 'Ta4 Bi2 S2'
_cell_length_a 8.5575
_cell_length_b 8.5575
_cell_length_c 8.5575
_cell_angle_alpha 145.96
_cell_angle_beta 145.96
_cell_angle_gamma 48.90
_space_group_name_H-M_alt 'P 1'
_space_group_IT_number 1
loop_
_space_group_symop_operation_xyz
'x,y,z'
loop_
_atom_site_label
_atom_site_fract_x
_atom_site_fract_y
_atom_site_fract_z
Ta1 0.0162 0.6250 0.8912
Ta2 0.3750 0.2662 0.3912
Ta3 0.7338 0.1250 0.1088
Ta4 0.8750 0.9838 0.6088
Bi1 0.2500 0.7500 0.5000
Bi2 0.5000 0.5000 0.0000
S1 0.0000 0.0000 0.0000
S2 0.7500 0.2500 0.5000

Taking the records one at a time from the top gives Fermi-level density of states values of 4.89, 0.58, 4.48, 22.37, 3.91, 2.38, 3.96, 10.85 states/eV per cell.